A relaxed structure of VTcAu2O, computed with PBE with a Hubbard U.

Values from the calculation:
theoretical density	10.952	g/cm3
size of the total moment	0.2	Bohr magnetons per cell
total energy	-5.0865	eV/atom

a = 4.757 Å, b = 3.745 Å, c = 4.757 Å
α = 90.00°, β = 90.00°, γ = 90.00°
Site moments in Bohr magnetons follow the coordinates.
Fractional coordinates of all 5 atoms:
Au 0.000 0.000 0.500  0.01
Au 0.500 0.000 0.000  -0.04
O 0.000 0.000 0.000  -0.08
Tc 0.000 0.500 0.000  0.05
V 0.500 0.500 0.500  0.31